DFT (PBE-GGA) results for a geometry-optimized Sc2Ni2Au structure.

Summary:
Energy above the lowest structure with this stoichiometry in meV per atom: 295.7
Formation energy in meV per atom: -302.7
Spin magnetization in μB/atom: 0.00

Cell lengths 7.4819, 7.4819, 3.0393 Å; angles 90.00, 90.00, 90.00 degrees
With the nearest neighbours (Å) after each atom.
Sites, in units of the cell vectors:
1 Sc 0.1563 0.3437 0.0000  6 Ni 2.64-2.71, 2 Au 2.82
2 Sc 0.3437 0.8437 0.0000  6 Ni 2.64-2.71, 2 Au 2.82
3 Sc 0.6563 0.1563 0.0000  6 Ni 2.64-2.71, 2 Au 2.82
4 Sc 0.8437 0.6563 0.0000  6 Ni 2.64-2.71, 2 Au 2.82
5 Ni 0.1313 0.6313 0.5000  6 Sc 2.64-2.71, 1 Ni 2.78
6 Ni 0.3687 0.1313 0.5000  6 Sc 2.64-2.71, 1 Ni 2.78
7 Ni 0.6313 0.8687 0.5000  6 Sc 2.64-2.71, 1 Ni 2.78
8 Ni 0.8687 0.3687 0.5000  6 Sc 2.64-2.71, 1 Ni 2.78
9 Au 0.0000 0.0000 0.0000  4 Sc 2.82, 2 Au 3.04
10 Au 0.5000 0.5000 0.0000  4 Sc 2.82, 2 Au 3.04